Material: BaYZnAu
Method: DFT, PBE
State: relaxed

Unit cell a=7.3583 b=7.3583 c=7.3583 alpha=90.00 beta=90.00 gamma=90.00
Space group F-43m (No. 216)
Symmetry-distinct sites (fractional):
Ba 0.0000 0.0000 0.0000 x4
Y 0.2500 0.2500 0.2500 x4
Zn 0.0000 0.0000 0.5000 x4
Au 0.2500 0.2500 0.7500 x4

M_tot, μB/f.u.: 0.000
Energy, eV/atom: -3.30
Excess energy over the best structure of this formula in the dataset, kcal/mol of atoms: 6.301